Below is a relaxed structure of CeLuHgPt, with properties calculated at the PBE-GGA level.

Cell: 5.1176 5.1176 5.1176 Å, 60.00 60.00 60.00°
Sites, in units of the cell vectors:
Ce 0.0000 0.0000 0.0000
Lu 0.5000 0.5000 0.5000
Hg 0.7500 0.7500 0.7500
Pt 0.2500 0.2500 0.2500

Output
space-group type	F-43m, No. 216
calculated volume	23.69	Å³ per atom
energy relative to the elements	-0.695	eV/atom